No. 1
Computed, not measured: a relaxed structure of Ni2IrPtSe8 at the PBE level of DFT.

```
Ni2IrPtSe8
1.0
-4.093 4.093 4.048
4.093 -4.093 4.048
4.093 4.093 -4.048
Ni Ir Pt Se
2 1 1 8
direct
0.000 0.000 0.000
0.750 0.250 0.500
0.500 0.500 0.000
0.250 0.750 0.500
0.144 0.468 0.676
0.222 0.054 0.832
0.222 0.390 0.168
0.532 0.208 0.676
0.532 0.856 0.324
0.610 0.778 0.832
0.792 0.468 0.324
0.946 0.778 0.168
```

The space-group type is I-4m2.



No. 2
Computed, not measured: a relaxed structure of LiSi3Ni at the PBE level of DFT.

```
LiSi3Ni
1.0
4.452 0.000 0.000
0.000 4.452 0.000
0.000 0.000 4.452
Li Si Ni
1 3 1
direct
0.000 0.000 0.000
0.000 0.500 0.500
0.500 0.000 0.500
0.500 0.500 0.000
0.500 0.500 0.500
```

The space-group type is Pm-3m. The excess energy over the best structure of this formula in the dataset is 482 meV per atom.



These records have calculated volume values of 271 88 Å³ per cell, in the order they appear.
These records have energy relative to the elements, uncorrected values of 0.19 0.33 eV per atom, in the order they appear.
These records have E_tot values of -4.342 -4.459 eV/atom, in the order they appear.